#P
A relaxed SrAc2Pu crystal, computed with PBE-GGA.

Cell lengths 3.8762, 3.8762, 11.1434 Å; angles 90.00, 90.00, 90.00 degrees
Site moments in Bohr magnetons follow the coordinates.
Sites, in units of the cell vectors:
Ac  0.0000  0.0000  0.7802  0.07
Sr  0.5000  0.5000  0.5000  -0.05
Pu  0.5000  0.5000  0.0000  5.64
Ac  0.0000  0.0000  0.2198  0.07

Values from the calculation:
crystal system	tetragonal
magnetic moment	1.57	μB/atom

#Q
A relaxed SrAc2Pu crystal, computed with PBE-GGA.

Cell lengths 3.9068, 3.9068, 12.9299 Å; angles 81.31, 81.31, 60.00 degrees
Site moments in Bohr magnetons follow the coordinates.
Sites, in units of the cell vectors:
Pu  0.0000  0.0000  0.0000  5.67
Sr  0.5000  0.5000  0.5000  -0.03
Ac  0.7425  0.7425  0.7724  0.05
Ac  0.2575  0.2575  0.2276  0.05

Values from the calculation:
crystal system	trigonal
magnetic moment	1.58	μB/atom

Name the least stable of them. #Q.

#P
A relaxed AcTb2Pu crystal, computed with PBE-GGA.

Cell lengths 5.7933, 5.7933, 5.7933 Å; angles 60.00, 60.00, 60.00 degrees
Site moments in Bohr magnetons follow the coordinates.
Sites, in units of the cell vectors:
Tb  0.7500  0.7500  0.7500  0.19
Tb  0.2500  0.2500  0.2500  0.19
Ac  0.5000  0.5000  0.5000  0.05
Pu  0.0000  0.0000  0.0000  5.59

Values from the calculation:
crystal system	cubic
magnetic moment	1.66	μB/atom

#Q
A relaxed AcTb2Pu crystal, computed with PBE-GGA.

Cell lengths 3.5776, 3.5776, 12.7138 Å; angles 81.91, 81.91, 60.00 degrees
Site moments in Bohr magnetons follow the coordinates.
Sites, in units of the cell vectors:
Ac  0.5000  0.5000  0.5000  -0.01
Pu  0.0000  0.0000  0.0000  5.81
Tb  0.9137  0.9137  0.2590  0.11
Tb  0.0863  0.0863  0.7410  0.11

Values from the calculation:
crystal system	trigonal
magnetic moment	1.65	μB/atom

Name the least stable of them. #Q.

#P
A relaxed AcTb2Pu crystal, computed with PBE-GGA.

Cell lengths 3.8510, 5.9540, 5.9540 Å; angles 90.00, 90.00, 90.00 degrees
Site moments in Bohr magnetons follow the coordinates.
Sites, in units of the cell vectors:
Tb  0.0000  0.0000  0.5000  0.20
Pu  0.5000  0.5000  0.5000  5.65
Tb  0.0000  0.5000  0.0000  0.20
Ac  0.5000  0.0000  0.0000  0.01

Values from the calculation:
crystal system	tetragonal
magnetic moment	1.68	μB/atom

#Q
A relaxed AcTb2Pu crystal, computed with PBE-GGA.

Cell lengths 3.6581, 3.6581, 11.9265 Å; angles 81.18, 81.18, 60.00 degrees
Site moments in Bohr magnetons follow the coordinates.
Sites, in units of the cell vectors:
Ac  0.5006  0.5006  0.4982  0.03
Pu  0.6662  0.6662  0.0015  -5.58
Tb  0.0781  0.0781  0.7657  -0.08
Tb  0.2551  0.2551  0.2346  -0.11

Values from the calculation:
crystal system	trigonal
magnetic moment	1.56	μB/atom

Name the least stable of them. #P.

#P
A relaxed Ac2TbPu crystal, computed with PBE-GGA.

Cell lengths 5.0806, 5.3760, 5.3760 Å; angles 90.00, 90.00, 90.00 degrees
Site moments in Bohr magnetons follow the coordinates.
Sites, in units of the cell vectors:
Pu  0.5000  0.0000  0.0000  5.60
Ac  0.0000  0.5000  0.0000  0.08
Tb  0.5000  0.5000  0.5000  0.10
Ac  0.0000  0.0000  0.5000  0.08

Values from the calculation:
crystal system	tetragonal
magnetic moment	1.65	μB/atom

#Q
A relaxed Ac2TbPu crystal, computed with PBE-GGA.

Cell lengths 5.9489, 5.9489, 5.9489 Å; angles 60.00, 60.00, 60.00 degrees
Site moments in Bohr magnetons follow the coordinates.
Sites, in units of the cell vectors:
Tb  0.0000  0.0000  0.0000  0.29
Pu  0.5000  0.5000  0.5000  5.70
Ac  0.2500  0.2500  0.2500  0.19
Ac  0.7500  0.7500  0.7500  0.19

Values from the calculation:
crystal system	cubic
magnetic moment	1.91	μB/atom

Name the least stable of them. #Q.

#P
A relaxed Ac2TbPu crystal, computed with PBE-GGA.

Cell lengths 3.7083, 3.7083, 13.1468 Å; angles 81.89, 81.89, 60.00 degrees
Site moments in Bohr magnetons follow the coordinates.
Sites, in units of the cell vectors:
Ac  0.0886  0.0886  0.7343  0.05
Pu  0.0000  0.0000  0.0000  5.87
Ac  0.9114  0.9114  0.2657  0.05
Tb  0.5000  0.5000  0.5000  -0.01

Values from the calculation:
crystal system	trigonal
magnetic moment	1.69	μB/atom

#Q
A relaxed Ac2TbPu crystal, computed with PBE-GGA.

Cell lengths 3.7826, 3.7826, 10.3688 Å; angles 90.00, 90.00, 90.00 degrees
Site moments in Bohr magnetons follow the coordinates.
Sites, in units of the cell vectors:
Pu  0.5000  0.5000  0.5000  5.70
Ac  0.0000  0.0000  0.7474  0.05
Tb  0.5000  0.5000  0.0000  -0.20
Ac  0.0000  0.0000  0.2526  0.05

Values from the calculation:
crystal system	tetragonal
magnetic moment	1.56	μB/atom

Name the least stable of them. #P.

#P
A relaxed AcPuTc crystal, computed with PBE-GGA.

Cell lengths 3.6323, 3.6323, 6.5154 Å; angles 106.19, 106.19, 90.00 degrees
Site moments in Bohr magnetons follow the coordinates.
Sites, in units of the cell vectors:
Pu  0.2854  0.2854  0.5707  4.89
Tc  0.7088  0.7088  0.4176  -0.84
Ac  0.0059  0.0059  0.0117  0.14

Values from the calculation:
crystal system	tetragonal
magnetic moment	1.51	μB/atom

#Q
A relaxed AcPuTc crystal, computed with PBE-GGA.

Cell lengths 6.6761, 7.4539, 7.5940 Å; angles 90.00, 116.43, 90.00 degrees
Site moments in Bohr magnetons follow the coordinates.
Sites, in units of the cell vectors:
Tc  0.5516  0.4271  0.1902  -0.61
Ac  0.8073  0.6547  0.5912  0.13
Tc  0.4484  0.5729  0.8098  -0.61
Ac  0.3073  0.8453  0.0912  0.13
Ac  0.6927  0.1547  0.9088  0.13
Pu  0.3144  0.8291  0.5836  4.97
Ac  0.1927  0.3453  0.4088  0.13
Pu  0.8144  0.6709  0.0836  4.97
Pu  0.1856  0.3291  0.9164  4.97
Tc  0.9484  0.9271  0.3098  -0.61
Tc  0.0516  0.0729  0.6902  -0.61
Pu  0.6856  0.1709  0.4164  4.97

Values from the calculation:
crystal system	monoclinic
magnetic moment	1.64	μB/atom

Name the least stable of them. #P.

#P
A relaxed AcPu2Tc crystal, computed with PBE-GGA.

Cell lengths 3.4490, 3.4490, 11.0711 Å; angles 81.04, 81.04, 60.00 degrees
Site moments in Bohr magnetons follow the coordinates.
Sites, in units of the cell vectors:
Pu  0.8951  0.8951  0.3146  5.40
Pu  0.1049  0.1049  0.6854  5.40
Tc  0.5000  0.5000  0.5000  -0.68
Ac  0.0000  0.0000  0.0000  0.12

Values from the calculation:
crystal system	trigonal
magnetic moment	2.79	μB/atom

#Q
A relaxed AcPu2Tc crystal, computed with PBE-GGA.

Cell lengths 3.4524, 3.4524, 8.8685 Å; angles 90.00, 90.00, 90.00 degrees
Site moments in Bohr magnetons follow the coordinates.
Sites, in units of the cell vectors:
Pu  0.0000  0.0000  0.1863  5.21
Ac  0.5000  0.5000  0.5000  0.06
Tc  0.5000  0.5000  0.0000  -0.74
Pu  0.0000  0.0000  0.8137  5.21

Values from the calculation:
crystal system	tetragonal
magnetic moment	2.61	μB/atom

Name the least stable of them. #P.

#P
A relaxed AcPuTe3 crystal, computed with PBE-GGA.

Cell lengths 4.6227, 7.4500, 10.1434 Å; angles 90.00, 90.00, 90.00 degrees
Site moments in Bohr magnetons follow the coordinates.
Sites, in units of the cell vectors:
Te  0.0000  0.0000  0.9204  -0.04
Ac  0.0000  0.5000  0.8493  0.00
Te  0.0000  0.2342  0.3346  -0.11
Te  0.5000  0.7342  0.6654  -0.11
Pu  0.0000  0.0000  0.5978  5.21
Te  0.5000  0.2658  0.6654  -0.11
Ac  0.5000  0.0000  0.1507  0.00
Pu  0.5000  0.5000  0.4022  5.21
Te  0.0000  0.7658  0.3346  -0.11
Te  0.5000  0.5000  0.0796  -0.04

Values from the calculation:
crystal system	orthorhombic
magnetic moment	1.01	μB/atom

#Q
A relaxed AcPuTe3 crystal, computed with PBE-GGA.

Cell lengths 4.6377, 8.5126, 17.5546 Å; angles 90.00, 90.00, 90.00 degrees
Site moments in Bohr magnetons follow the coordinates.
Sites, in units of the cell vectors:
Te  0.7500  0.4928  0.8944  -0.11
Te  0.2500  0.6568  0.7135  -0.04
Pu  0.7500  0.7229  0.0400  5.24
Pu  0.2500  0.2771  0.9600  5.24
Te  0.7500  0.1252  0.0570  -0.11
Te  0.7500  0.6252  0.4430  -0.11
Te  0.2500  0.0072  0.3944  -0.11
Te  0.2500  0.8748  0.9430  -0.11
Te  0.2500  0.5072  0.1056  -0.11
Pu  0.7500  0.2229  0.4600  5.24
Te  0.7500  0.8432  0.2135  -0.04
Ac  0.2500  0.6340  0.3012  -0.01
Te  0.7500  0.3432  0.2865  -0.04
Pu  0.2500  0.7771  0.5400  5.24
Ac  0.2500  0.1340  0.1988  -0.01
Ac  0.7500  0.8660  0.8012  -0.01
Ac  0.7500  0.3660  0.6988  -0.01
Te  0.2500  0.1568  0.7865  -0.04
Te  0.7500  0.9928  0.6056  -0.11
Te  0.2500  0.3748  0.5570  -0.11

Values from the calculation:
crystal system	orthorhombic
magnetic moment	1.00	μB/atom

Name the least stable of them. #P.

#P
A relaxed Ac4PuTe5 crystal, computed with PBE-GGA.

Cell lengths 4.6793, 4.6793, 19.2448 Å; angles 83.02, 83.02, 60.00 degrees
Site moments in Bohr magnetons follow the coordinates.
Sites, in units of the cell vectors:
Te  0.4020  0.4020  0.7941  0.00
Pu  0.5000  0.5000  0.5000  5.61
Te  0.1959  0.1959  0.4123  -0.05
Te  0.0000  0.0000  0.0000  0.00
Te  0.8041  0.8041  0.5877  -0.05
Te  0.5980  0.5980  0.2059  0.00
Ac  0.7007  0.7007  0.8980  -0.01
Ac  0.8968  0.8968  0.3096  0.02
Ac  0.2993  0.2993  0.1020  -0.01
Ac  0.1032  0.1032  0.6904  0.02

Values from the calculation:
crystal system	trigonal
magnetic moment	0.61	μB/atom

#Q
A relaxed Ac4PuTe5 crystal, computed with PBE-GGA.

Cell lengths 6.6299, 8.1078, 8.1078 Å; angles 80.38, 65.87, 65.87 degrees
Site moments in Bohr magnetons follow the coordinates.
Sites, in units of the cell vectors:
Ac  0.8037  0.7914  0.6029  0.01
Te  0.1002  0.6127  0.1887  -0.01
Pu  0.0016  0.0000  0.0000  5.62
Ac  0.5951  0.6029  0.2086  0.01
Te  0.9016  0.3873  0.8113  -0.01
Ac  0.1980  0.2086  0.3971  0.01
Ac  0.4066  0.3971  0.7914  0.01
Te  0.5016  0.0000  0.0000  -0.03
Te  0.2889  0.8113  0.6127  -0.01
Te  0.7129  0.1887  0.3873  -0.01

Values from the calculation:
crystal system	tetragonal
magnetic moment	0.60	μB/atom

Name the least stable of them. #Q.

#P
A relaxed AcPuTh crystal, computed with PBE-GGA.

Cell lengths 3.5699, 6.1657, 11.7456 Å; angles 56.03, 81.26, 73.17 degrees
Site moments in Bohr magnetons follow the coordinates.
Sites, in units of the cell vectors:
Th  0.0916  0.1018  0.7149  0.08
Pu  0.3605  0.7141  0.5650  5.46
Ac  0.3667  0.3571  0.9094  0.01
Pu  0.6395  0.2859  0.4350  5.46
Ac  0.6333  0.6429  0.0906  0.01
Th  0.9084  0.8982  0.2851  0.08

Values from the calculation:
crystal system	monoclinic
magnetic moment	1.97	μB/atom

#Q
A relaxed AcPuTh crystal, computed with PBE-GGA.

Cell lengths 3.6523, 3.6523, 8.0291 Å; angles 103.15, 103.15, 90.00 degrees
Site moments in Bohr magnetons follow the coordinates.
Sites, in units of the cell vectors:
Th  0.6778  0.6778  0.3555  0.06
Ac  0.0004  0.0004  0.0008  0.03
Pu  0.3219  0.3219  0.6437  5.54

Values from the calculation:
crystal system	tetragonal
magnetic moment	2.06	μB/atom

Name the least stable of them. #P.

#P
A relaxed AcY2Pu crystal, computed with PBE-GGA.

Cell lengths 5.1931, 5.1150, 5.1150 Å; angles 90.00, 90.00, 90.00 degrees
Site moments in Bohr magnetons follow the coordinates.
Sites, in units of the cell vectors:
Y  0.0000  0.0000  0.5000  0.11
Pu  0.5000  0.5000  0.5000  5.56
Y  0.0000  0.5000  0.0000  0.11
Ac  0.5000  0.0000  0.0000  0.07

Values from the calculation:
crystal system	tetragonal
magnetic moment	1.65	μB/atom

#Q
A relaxed AcY2Pu crystal, computed with PBE-GGA.

Cell lengths 3.6632, 3.6632, 11.9617 Å; angles 81.19, 81.19, 60.00 degrees
Site moments in Bohr magnetons follow the coordinates.
Sites, in units of the cell vectors:
Y  0.2550  0.2550  0.2351  0.08
Ac  0.5006  0.5006  0.4983  -0.03
Pu  0.6662  0.6662  0.0013  5.60
Y  0.0782  0.0782  0.7653  0.06

Values from the calculation:
crystal system	trigonal
magnetic moment	1.57	μB/atom

Name the least stable of them. #P.

#P
A relaxed AcY2Pu crystal, computed with PBE-GGA.

Cell lengths 3.5595, 3.5595, 12.7787 Å; angles 81.99, 81.99, 60.00 degrees
Site moments in Bohr magnetons follow the coordinates.
Sites, in units of the cell vectors:
Y  0.9062  0.9062  0.2815  -0.07
Y  0.0938  0.0938  0.7185  -0.07
Ac  0.0000  0.0000  0.0000  0.01
Pu  0.5000  0.5000  0.5000  -5.54

Values from the calculation:
crystal system	trigonal
magnetic moment	1.55	μB/atom

#Q
A relaxed AcY2Pu crystal, computed with PBE-GGA.

Cell lengths 3.6765, 3.6765, 10.0943 Å; angles 90.00, 90.00, 90.00 degrees
Site moments in Bohr magnetons follow the coordinates.
Sites, in units of the cell vectors:
Pu  0.5000  0.5000  0.0000  5.63
Y  0.0000  0.0000  0.7714  0.14
Y  0.0000  0.0000  0.2286  0.14
Ac  0.5000  0.5000  0.5000  -0.01

Values from the calculation:
crystal system	tetragonal
magnetic moment	1.67	μB/atom

Name the least stable of them. #P.